Entry 1:
MgSbIr, relaxed, DFT PBE; space-group type = Imm2, No. 44; E_form (uncorrected) = -0.135 eV/atom; total energy = -4.99 eV per atom
1.0
4.986 0.011 0.012
2.363 4.390 -0.012
-3.522 -2.454 2.535
Sb Ir Mg
1 1 1
Direct
0.654 0.654 0.000 Sb
0.010 0.010 0.000 Ir
0.336 0.336 0.000 Mg



Entry 2:
Mg2SbIr2, relaxed, DFT PBE; space-group type = P4/mbm, No. 127; E_form (uncorrected) = -0.166 eV/atom; total energy = -5.17 eV per atom
1.0
7.427 0.000 0.000
0.000 7.427 0.000
0.000 0.000 3.183
Mg Ir Sb
4 4 2
Direct
0.862 0.362 0.500 Mg
0.638 0.862 0.500 Mg
0.138 0.638 0.500 Mg
0.362 0.138 0.500 Mg
0.840 0.660 0.000 Ir
0.340 0.840 0.000 Ir
0.160 0.340 0.000 Ir
0.660 0.160 0.000 Ir
0.000 0.000 0.000 Sb
0.500 0.500 0.000 Sb



Entry 3:
Mg2SbIr, relaxed, DFT PBE; space-group type = R-3m, No. 166; E_form (uncorrected) = -0.074 eV/atom; total energy = -4.12 eV per atom
1.0
8.978 -0.086 -0.050
8.428 3.096 -0.050
8.428 1.458 2.732
Sb Mg Ir
1 2 1
Direct
0.250 0.250 0.250 Sb
0.489 0.489 0.489 Mg
0.011 0.011 0.011 Mg
0.750 0.750 0.750 Ir